The following is a PBE calculation of an optimized crystal structure of Pm6HoSn3, from Alexandria.

a b c (Å): 7.732 9.458 9.458
angles (deg): 108.61 90.00 90.00
Fractional positions:
Pm1 0.107 0.747 0.673
Pm2 0.607 0.673 0.747
Pm3 0.289 0.542 0.936
Pm4 0.789 0.936 0.542
Pm5 0.279 0.952 0.048
Pm6 0.631 0.286 0.714
Pm7 0.131 0.714 0.286
Pm8 0.779 0.048 0.952
Pm9 0.289 0.064 0.458
Pm10 0.789 0.458 0.064
Pm11 0.107 0.327 0.253
Pm12 0.607 0.253 0.327
Ho1 0.105 0.203 0.797
Ho2 0.605 0.797 0.203
Sn1 0.434 0.980 0.736
Sn2 0.934 0.736 0.980
Sn3 0.311 0.422 0.578
Sn4 0.811 0.578 0.422
Sn5 0.934 0.020 0.264
Sn6 0.434 0.264 0.020

Values from the calculation:
DFT formation energy: -347 kJ/mol of formula units



The following is a PBE calculation of an optimized crystal structure of Ta2OsW, from Alexandria.

a b c (Å): 5.308 5.308 5.308
angles (deg): 144.94 128.72 63.64
Fractional positions:
Os1 0.250 0.750 0.500
Ta1 0.000 0.000 0.000
Ta2 0.500 0.500 0.000
W1 0.750 0.250 0.500

Values from the calculation:
DFT formation energy: -47 kJ/mol of formula units
Energy relative to the lowest polymorph listed for this composition: 177.8 meV per atom



The following is a PBE calculation of an optimized crystal structure of SrZnSnAu3, from Alexandria.

a b c (Å): 6.891 6.572 7.170
angles (deg): 117.28 90.00 90.00
Fractional positions:
Sr1 0.750 0.298 0.597
Sr2 0.250 0.702 0.403
Zn1 0.250 0.953 0.906
Zn2 0.750 0.047 0.094
Sn1 0.250 0.369 0.738
Sn2 0.750 0.631 0.262
Au1 0.250 0.158 0.317
Au2 0.000 0.276 0.000
Au3 0.500 0.724 0.000
Au4 0.500 0.276 0.000
Au5 0.000 0.724 0.000
Au6 0.750 0.842 0.683

Values from the calculation:
DFT formation energy: -205 kJ/mol of formula units



The following is a PBE calculation of an optimized crystal structure of Sr2GeTe, from Alexandria.

a b c (Å): 8.623 8.623 7.182
angles (deg): 53.11 53.11 90.00
Fractional positions:
Sr1 0.615 0.125 0.250
Sr2 0.135 0.625 0.250
Sr3 0.375 0.385 0.750
Sr4 0.875 0.865 0.750
Ge1 0.500 0.500 0.000
Ge2 0.250 0.750 0.500
Te1 0.000 0.000 0.000
Te2 0.750 0.250 0.500

Values from the calculation:
Formation energy without anion corrections: -2.7 eV/f.u.
Energy relative to the lowest polymorph listed for this composition: 68.9 meV per atom